Below is crystalline ScTa2Fe at its relaxed geometry, with properties calculated at the PBE level.

Lattice parameters (Å, degrees): 4.5217 4.5217 4.5217 60.00 60.00 60.00
Closest atoms and distances in Å follow each position.
Positions (direct):
Sc 0.0000 0.0000 0.0000  8 Ta 2.77
Ta 0.2500 0.2500 0.2500  4 Fe 2.77, 4 Sc 2.77
Ta 0.7500 0.7500 0.7500  4 Fe 2.77, 4 Sc 2.77
Fe 0.5000 0.5000 0.5000  8 Ta 2.77

Energy of formation from the pure elements (meV per atom): 268
E above lowest polymorph (eV/atom): 0.2727